Below is LaTlSn2 after structural relaxation, with properties calculated at the PBE level.

Cell: 12.0278 12.0278 12.0278 Å, 16.78 16.78 16.78°
Last column: nearest neighbours and their distance in Å.
Atoms (fractional coordinates):
1 La 0.0000 0.0000 0.0000  2 Sn 3.25, 6 La 3.51
2 Tl 0.5000 0.5000 0.5000  6 Sn 3.36, 6 Tl 3.51
3 Sn 0.0914 0.0914 0.0914  1 La 3.25, 3 Tl 3.36, 6 Sn 3.51
4 Sn 0.9086 0.9086 0.9086  1 La 3.25, 3 Tl 3.36, 6 Sn 3.51

Calculated values
For the calculated volume, the calculation gives 31.6 Å³/atom. Its space group is No. 166. The calculation puts the formation energy at 120 meV/atom. The total magnetization comes out at 0.00 μB per cell.